The following is a GGA+U calculation of a geometry-optimized CoReNO2 structure, from the Alexandria database.

Theoretical density (g cm⁻³): 9.88
Crystal system: tetragonal
DOS(E_F) (states/eV/cell): 2.8
E (eV/f.u.): -31.98

Lattice parameters (Å, degrees): 3.5967 3.5967 3.7826 90.00 90.00 90.00
Closest atoms and distances in Å follow each position.
Space group P4/mmm (No. 123)
Inequivalent atoms, fractional coordinates:
Co1 0.0000 0.0000 0.0000 x1  4 O 1.80, 2 N 1.89
Re1 0.5000 0.5000 0.5000 x1  4 N 2.54, 8 O 2.61
N1 0.0000 0.0000 0.5000 x1  2 Co 1.89
O1 0.0000 0.5000 0.0000 x2  2 Co 1.80